(1)
VASP calculation (PBE) on CaLa2Ce after structural relaxation.

extended XYZ file:
```
4
Lattice="-2.146 -1.910 -2.222 -1.025 -2.091 2.788 -8.089 6.701 2.052" Properties=species:S:1:pos:R:3 pbc="T T T"
Ca -5.630 1.350 1.309
Ce -1.586 -2.001 0.283
La -6.303 5.222 1.599
La -1.785 1.479 0.453
```

Space-group type ... P4/mmm, No. 123
Total magnetic moment ... 0.00 μB/cell
Calculated formation energy ... 0.05 eV/atom
Crystal system ... tetragonal
E above lowest polymorph ... 0.000 eV per atom

(2)
VASP calculation (PBE) on Ca12La5Ce3 after structural relaxation.

extended XYZ file:
```
80
Lattice="17.211 0.000 0.000 -5.737 16.227 0.000 -5.737 -8.113 14.053" Properties=species:S:1:pos:R:3 pbc="T T T"
Ce 10.040 5.071 1.757
Ce 10.040 11.156 1.757
Ce -1.434 7.099 8.783
Ce 1.434 -1.014 5.270
Ce 12.908 0.000 3.513
Ce 1.434 8.113 3.513
Ce 4.303 0.000 10.540
Ce -7.171 8.113 10.540
Ce 4.303 9.128 8.783
Ce 7.171 1.014 5.270
Ce -4.303 -3.043 12.296
Ce -4.303 3.043 12.296
La -1.434 4.057 3.513
La -2.869 8.113 0.000
La 0.000 0.000 0.000
La 4.303 3.043 1.757
La 5.737 -4.057 7.026
La 5.737 8.113 0.000
La -4.303 9.128 5.270
La 7.171 -5.071 12.296
La 7.171 7.099 5.270
La 1.434 -4.057 10.540
La 4.303 12.170 3.513
La 2.869 4.057 7.026
La 8.606 0.000 0.000
La -2.869 -4.057 7.026
La -1.434 1.014 8.783
La -1.434 13.184 1.757
La -5.737 4.057 7.026
La 10.040 -1.014 8.783
La 1.434 5.071 12.296
La 7.171 4.057 10.540
Ca 11.349 1.685 1.012
Ca 0.125 5.775 6.073
Ca 12.357 3.654 3.794
Ca 7.723 2.598 1.965
Ca 2.194 6.507 9.247
Ca 11.807 7.932 2.221
Ca -0.883 9.169 5.759
Ca -4.854 13.629 1.965
Ca 0.674 9.720 9.247
Ca 8.272 8.294 2.221
Ca 8.730 4.023 5.061
Ca 8.731 14.542 1.012
Ca -5.063 7.205 8.038
Ca 3.202 6.281 1.267
Ca -5.862 12.204 5.061
Ca 2.994 -2.338 7.980
Ca -0.674 0.698 3.232
Ca 3.202 10.127 0.953
Ca 7.723 12.573 3.794
Ca -0.333 6.100 0.953
Ca -3.543 8.811 10.820
Ca 3.751 7.058 5.759
Ca 7.931 9.022 8.038
Ca 6.070 -1.833 12.786
Ca 1.986 1.056 8.294
Ca -2.194 -0.908 6.015
Ca -0.333 9.946 1.267
Ca -1.986 -4.460 10.259
Ca 9.280 -0.698 3.232
Ca 6.071 2.014 13.099
Ca 2.535 -2.014 13.099
Ca 2.743 10.451 6.073
Ca 6.411 7.415 10.820
Ca 11.599 -4.090 8.992
Ca 10.800 0.908 6.015
Ca -2.994 -6.428 13.041
Ca 2.535 1.833 12.786
Ca 5.063 -1.606 4.806
Ca -2.535 -0.181 11.832
Ca -2.993 4.090 8.992
Ca 10.591 -5.516 12.087
Ca 6.620 -1.056 8.294
Ca -1.986 5.516 12.087
Ca -6.070 0.181 11.832
Ca 3.543 1.606 4.806
Ca -6.620 4.460 10.259
Ca 5.612 2.338 7.980
Ca -5.612 6.428 13.041
```

Space-group type ... Ia-3d, No. 230
Total magnetic moment ... 15.94 μB/cell
Calculated formation energy ... 1.02 eV/atom
Crystal system ... cubic

(3)
VASP calculation (PBE) on Ca2LaCe after structural relaxation.

extended XYZ file:
```
4
Lattice="3.575 0.000 0.000 1.787 3.096 0.000 1.787 1.032 13.396" Properties=species:S:1:pos:R:3 pbc="T T T"
Ca 1.787 1.032 9.825
Ca 5.362 3.096 3.571
Ce 3.575 2.064 6.698
La 0.000 0.000 0.000
```

Space-group type ... R-3m, No. 166
Total magnetic moment ... 1.71 μB/cell
Calculated formation energy ... 0.25 eV/atom
Crystal system ... trigonal

(4)
VASP calculation (PBE) on CaLaCe after structural relaxation.

extended XYZ file:
```
3
Lattice="-2.924 2.057 -0.652 -2.095 -2.443 1.689 3.665 4.061 6.508" Properties=species:S:1:pos:R:3 pbc="T T T"
Ca -1.363 3.645 7.489
Ce 0.752 2.519 4.576
La -2.097 1.187 3.026
```

Space-group type ... I4mm, No. 107
Total magnetic moment ... 1.01 μB/cell
Calculated formation energy ... 0.14 eV/atom
Crystal system ... tetragonal
E above lowest polymorph ... 0.029 eV per atom

(5)
VASP calculation (PBE) on CaLa2Ce after structural relaxation.

extended XYZ file:
```
4
Lattice="-3.289 0.203 2.496 -0.384 -2.667 3.134 3.895 5.742 8.088" Properties=species:S:1:pos:R:3 pbc="T T T"
Ca 0.000 0.000 0.000
Ce 0.111 1.639 6.859
La 2.123 3.469 5.938
La -1.900 -0.192 7.780
```

Space-group type ... R-3m, No. 166
Total magnetic moment ... 0.00 μB/cell
Calculated formation energy ... 0.52 eV/atom
Crystal system ... trigonal
E above lowest polymorph ... 0.468 eV per atom

(6)
VASP calculation (PBE) on CaLa2Ce after structural relaxation.

extended XYZ file:
```
4
Lattice="5.946 0.000 0.000 2.973 5.149 0.000 2.973 1.716 4.855" Properties=species:S:1:pos:R:3 pbc="T T T"
Ca 0.000 0.000 0.000
Ce 5.946 3.433 2.427
La 2.973 1.716 1.214
La 8.919 5.149 3.641
```

Space-group type ... Fm-3m, No. 225
Total magnetic moment ... 2.06 μB/cell
Calculated formation energy ... 0.22 eV/atom
Crystal system ... cubic
E above lowest polymorph ... 0.172 eV per atom

(7)
VASP calculation (PBE) on CaLa2Ce after structural relaxation.

extended XYZ file:
```
4
Lattice="4.230 0.000 0.000 2.115 3.663 0.000 2.115 1.221 9.097" Properties=species:S:1:pos:R:3 pbc="T T T"
Ca 4.230 2.442 4.557
La 2.115 1.221 7.520
La 2.115 1.221 1.597
Ce 6.345 3.663 9.069
```

Space-group type ... R3m, No. 160
Total magnetic moment ... 0.00 μB/cell
Calculated formation energy ... 0.32 eV/atom
Crystal system ... trigonal
E above lowest polymorph ... 0.272 eV per atom

(8)
VASP calculation (PBE) on CaLaCe4 after structural relaxation.

extended XYZ file:
```
6
Lattice="6.459 0.000 0.000 3.230 5.594 0.000 3.230 1.865 5.274" Properties=species:S:1:pos:R:3 pbc="T T T"
Ca 3.230 1.865 1.318
Ce 6.459 3.729 0.818
Ce 6.459 2.014 3.243
Ce 7.945 4.587 3.243
Ce 4.974 4.587 3.243
La 0.000 0.000 0.000
```

Space-group type ... F-43m, No. 216
Total magnetic moment ... 3.32 μB/cell
Calculated formation energy ... 0.24 eV/atom
Crystal system ... cubic